Entry 1:
LiZr2Os | SCAN | single point on PBEsol structure

Geometry as extended XYZ:
```
4
Lattice="3.2545 0.0000 0.0000 0.0000 4.6055 0.0000 0.0000 0.0000 4.6055" Properties=species:S:1:pos:R:3 pbc="T T T"
Zr 0.0000 2.3027 0.0000
Os 1.6273 2.3027 2.3027
Zr 0.0000 0.0000 2.3027
Li 1.6273 0.0000 0.0000
```

Computed properties:
The calculation puts the total moment at 0.00 μB/f.u. Its energy above the most stable polymorph in this dataset is 92 meV per atom. The symmetry is P4/mmm (123). Its formation energy is -32.57 kJ/mol of atoms.

***

Entry 2:
Sr3HfN | SCAN | single point on PBEsol structure

Geometry as extended XYZ:
```
5
Lattice="-3.3869 -1.9307 3.5091 2.7238 -4.4796 0.1644 2.9364 1.9284 3.8951" Properties=species:S:1:pos:R:3 pbc="T T T"
Sr 1.4682 0.9642 1.9476
Hf 1.1366 -2.2409 3.7843
Sr 1.3619 -2.2398 0.0822
Sr -1.6935 -0.9653 1.7546
N 0.0000 0.0000 0.0000
```

Computed properties:
The calculation puts the total moment at 1.85 μB/f.u. Its uncorrected formation energy is 0.29 eV/atom. The symmetry is Pm-3m (221).

***

Entry 3:
Sm5Sn10Rh4 | SCAN | single point on PBEsol structure

Geometry as extended XYZ:
```
38
Lattice="-2.0644 0.0977 -4.0419 -3.5015 -13.3632 1.4654 -11.8665 3.7840 6.1524" Properties=species:S:1:pos:R:3 pbc="T T T"
Sn -2.9741 0.6063 -1.0156
Sn -14.4584 -10.0878 4.5916
Sn -5.3068 -10.5382 2.4558
Rh -2.9550 -9.9660 1.2684
Rh -4.8507 -6.0801 2.3306
Sn -4.0158 -11.1283 -0.7672
Rh -10.5173 -3.4991 5.2873
Sm -11.9442 -8.3941 3.3484
Sn -13.4167 1.6468 4.3432
Sn -2.5366 -2.0578 1.2458
Sn -6.8042 -5.4122 0.7952
Sn -10.0612 0.9590 5.1620
Sn -5.3480 0.6923 2.7483
Sm -5.4970 -8.3245 0.0571
Sn -12.5420 -2.2274 6.3521
Sm 0.0000 0.0000 0.0000
Sm -7.6840 -4.7896 3.8089
Sn -10.5772 -6.1163 5.2546
Sn -10.0200 -10.2715 4.8696
Sn -8.0970 -2.5869 1.5238
Rh -12.4130 0.3868 6.3494
Sm -11.9354 -1.1570 3.5189
Sn -6.5339 -8.0230 3.1433
Rh -12.3475 -10.1554 6.0612
Sn -2.8260 -7.3518 1.2657
Sn -4.7908 -3.4629 2.3633
Sn -8.8341 -1.5562 4.4745
Sm -13.7253 -4.7433 4.3464
Rh -3.0205 0.5762 1.5567
Sn -10.6282 -4.0693 2.7808
Sn -9.3354 -6.8946 2.0522
Rh -8.8648 -7.9846 4.3348
Sm -3.7072 -4.7383 -0.7704
Rh -6.5032 -1.5947 3.2830
Sm -8.6634 0.8825 1.8969
Sm -5.4882 -1.0874 0.2275
Sm -8.7691 -10.3640 1.6791
Sn -12.8314 -7.5215 6.3720
```

Computed properties:
The calculation puts the total moment at 0.00 μB/f.u. The symmetry is P4/mbm (127). Its formation energy is -80.75 kJ/mol of atoms.

***

Entry 4:
InCo2Cl | SCAN | single point on PBEsol structure

Geometry as extended XYZ:
```
4
Lattice="3.5703 0.0000 0.0000 0.0000 3.5703 0.0000 -1.7852 -1.7852 4.8408" Properties=species:S:1:pos:R:3 pbc="T T T"
Co 1.7852 0.0000 2.4204
Co 0.0000 0.0000 0.0000
In 1.7852 1.7852 0.0000
Cl 0.0000 1.7852 2.4204
```

Computed properties:
The calculation puts the total moment at 3.83 μB/f.u. Its energy above the most stable polymorph in this dataset is 221 meV per atom. Its uncorrected formation energy is 0.31 eV/atom. The symmetry is I-4m2 (119).

***

Entry 5:
Zr2OsCl | SCAN | single point on PBEsol structure

Geometry as extended XYZ:
```
4
Lattice="-2.4326 1.7597 0.3104 -1.4877 -3.9403 2.5799 2.7997 1.7978 3.6504" Properties=species:S:1:pos:R:3 pbc="T T T"
Cl -1.2163 0.8798 0.1552
Os -0.5603 -0.1914 3.2703
Zr 1.3998 0.8989 1.8252
Zr -0.7439 -1.9702 1.2900
```

Computed properties:
The calculation puts the total moment at 0.00 μB/f.u. Its energy above the most stable polymorph in this dataset is 248 meV per atom. Its uncorrected formation energy is -0.45 eV/atom. The symmetry is C2/m (12).

***

Entry 6:
ZnSbPb2 | SCAN | single point on PBEsol structure

Geometry as extended XYZ:
```
4
Lattice="3.2093 0.0000 0.0458 0.0000 5.2375 0.0000 -0.1438 0.0000 6.2638" Properties=species:S:1:pos:R:3 pbc="T T T"
Zn -0.0719 2.6187 3.1319
Pb 0.7958 0.0000 1.6963
Pb 2.2697 0.0000 4.6133
Sb 1.6046 2.6187 0.0229
```

Computed properties:
The calculation puts the total moment at 0.00 μB/f.u. Its energy above the most stable polymorph in this dataset is 84 meV per atom. Its uncorrected formation energy is 0.23 eV/atom. The symmetry is P2/m (10).

***

Entry 7:
NaSc3Re | SCAN | single point on PBEsol structure

Geometry as extended XYZ:
```
5
Lattice="4.7535 0.0000 0.0000 0.0000 4.7535 0.0000 0.0000 0.0000 4.7535" Properties=species:S:1:pos:R:3 pbc="T T T"
Na 0.0000 0.0000 0.0000
Sc 0.0000 2.3767 0.0000
Sc 0.0000 0.0000 2.3767
Sc 2.3767 0.0000 0.0000
Re 2.3767 2.3767 2.3767
```

Computed properties:
The calculation puts the total moment at 0.09 μB/f.u. The symmetry is Pm-3m (221). Its formation energy is 164.01 kJ/mol of atoms.

***

Entry 8:
Li2MnPF | SCAN | single point on PBEsol structure

Geometry as extended XYZ:
```
5
Lattice="-3.3913 0.6352 0.4824 -0.7975 -2.6676 -2.0939 -0.0204 -3.5504 4.5308" Properties=species:S:1:pos:R:3 pbc="T T T"
Li -0.3987 -1.3338 -1.0470
P -0.0102 -1.7752 2.2654
Li -1.6956 0.3176 0.2412
F 0.0000 0.0000 0.0000
Mn -2.1046 -2.7914 1.4597
```

Computed properties:
The calculation puts the total moment at 3.65 μB/f.u. Its uncorrected formation energy is -1.11 eV/atom. The symmetry is P4/mmm (123).

***

Entry 9:
Bi2Pd | SCAN | single point on PBEsol structure

Geometry as extended XYZ:
```
6
Lattice="4.2480 0.0000 0.0000 0.0000 5.6720 -0.0166 -2.1240 -1.4195 6.1734" Properties=species:S:1:pos:R:3 pbc="T T T"
Bi 0.0000 -0.0348 5.2769
Pd 0.0000 4.0870 2.7471
Pd 2.1240 0.1655 3.4097
Bi 2.1240 4.2872 0.8799
Bi 2.1240 2.9042 4.2176
Bi 0.0000 1.3483 1.9392
```

Computed properties:
The calculation puts the total moment at 0.00 μB/f.u. The symmetry is C2/m (12). Its formation energy is -17.81 kJ/mol of atoms.

***

Entry 10:
CdRe2Te | SCAN | single point on PBEsol structure

Geometry as extended XYZ:
```
4
Lattice="4.6267 0.0000 0.0000 2.3134 4.0069 0.0000 2.3134 1.3356 3.7777" Properties=species:S:1:pos:R:3 pbc="T T T"
Re 0.0000 0.0000 0.0000
Cd 4.6267 2.6713 1.8889
Re 6.9401 4.0069 2.8333
Te 2.3134 1.3356 0.9444
```

Computed properties:
The calculation puts the total moment at 0.00 μB/f.u. Its energy above the most stable polymorph in this dataset is 540 meV per atom. Its uncorrected formation energy is 1.07 eV/atom. The symmetry is F-43m (216).

***

Entry 11:
HfBeIr2 | SCAN | single point on PBEsol structure

Geometry as extended XYZ:
```
4
Lattice="4.3202 0.0000 0.0000 2.1601 3.7414 0.0000 2.1601 1.2471 3.5274" Properties=species:S:1:pos:R:3 pbc="T T T"
Ir 6.4803 3.7414 2.6456
Be 0.0000 0.0000 0.0000
Ir 2.1601 1.2471 0.8819
Hf 4.3202 2.4943 1.7637
```

Computed properties:
The calculation puts the total moment at 0.00 μB/f.u. The symmetry is Fm-3m (225). Its formation energy is -90.45 kJ/mol of atoms.

***

Entry 12:
ZnC3 | SCAN | single point on PBEsol structure

Geometry as extended XYZ:
```
4
Lattice="2.6230 0.0000 0.0000 0.0000 2.6230 0.0000 -1.3115 -1.3115 6.2166" Properties=species:S:1:pos:R:3 pbc="T T T"
C 1.3115 1.3115 0.0000
C 1.3115 0.0000 3.1083
Zn 0.0000 0.0000 0.0000
C 0.0000 1.3115 3.1083
```

Computed properties:
The calculation puts the total moment at 0.05 μB/f.u. Its energy above the most stable polymorph in this dataset is 814 meV per atom. The symmetry is I4/mmm (139). Its formation energy is 285.97 kJ/mol of atoms.

***

Entry 13:
Ca2CuH2 | SCAN | single point on PBEsol structure

Geometry as extended XYZ:
```
5
Lattice="-1.7635 2.3263 -2.1912 -2.7552 0.1614 2.3888 4.9913 3.4937 2.7322" Properties=species:S:1:pos:R:3 pbc="T T T"
H -0.0116 2.4494 2.6099
Ca 1.9411 3.3661 2.0115
Ca -1.4685 2.6153 0.9183
Cu 0.0000 0.0000 0.0000
H 0.4842 3.5319 0.3199
```

Computed properties:
The calculation puts the total moment at 0.00 μB/f.u. As for the total energy: -43.15 eV for the cell shown. The symmetry is I4/mmm (139).

***

Entry 14:
AgOsPbBr2 | SCAN | single point on PBEsol structure

Geometry as extended XYZ:
```
5
Lattice="-0.0799 -3.8442 3.6775 -2.3799 -3.5342 -3.7461 5.1495 -1.7012 -1.6664" Properties=species:S:1:pos:R:3 pbc="T T T"
Br 2.5747 -0.8506 -0.8332
Br -1.1899 -1.7671 -1.8731
Pb 0.0000 0.0000 0.0000
Ag -0.0400 -1.9221 1.8388
Os 1.3448 -4.5398 -0.8675
```

Computed properties:
The calculation puts the total moment at 4.52 μB/f.u. Its uncorrected formation energy is 1.35 eV/atom. The symmetry is P4/mmm (123).

***

Entry 15:
ScOsSeBr2 | SCAN | single point on PBEsol structure

Geometry as extended XYZ:
```
5
Lattice="5.1011 0.0000 0.0000 0.0000 5.1011 0.0000 0.0000 0.0000 5.1770" Properties=species:S:1:pos:R:3 pbc="T T T"
Sc 0.0000 0.0000 0.0000
Br 2.5505 0.0000 0.0000
Se 0.0000 0.0000 2.5885
Os 2.5505 2.5505 2.5885
Br 0.0000 2.5505 0.0000
```

Computed properties:
The calculation puts the total moment at 4.56 μB/f.u. Its uncorrected formation energy is 0.31 eV/atom. The symmetry is P4/mmm (123).

***

Entry 16:
LaIrOs2 | SCAN | single point on PBEsol structure

Geometry as extended XYZ:
```
4
Lattice="2.8166 0.0000 0.0000 0.0000 4.7704 0.0000 -1.4083 -2.3852 5.1711" Properties=species:S:1:pos:R:3 pbc="T T T"
Os 0.0000 0.0000 2.2876
Ir 1.4083 0.0000 0.0000
La 0.0000 2.3852 0.0000
Os 1.4083 2.3852 2.8835
```

Computed properties:
The calculation puts the total moment at 0.00 μB/f.u. Its energy above the most stable polymorph in this dataset is 82 meV per atom. The symmetry is Immm (71). Its formation energy is 37.24 kJ/mol of atoms.

***

Entry 17:
KTl2Cd | SCAN | single point on PBEsol structure

Geometry as extended XYZ:
```
4
Lattice="3.7618 0.0000 0.0000 0.0000 3.7618 0.0000 0.0000 0.0000 8.5186" Properties=species:S:1:pos:R:3 pbc="T T T"
Cd 0.0000 0.0000 3.8984
Tl 1.8809 1.8809 2.2209
K 1.8809 1.8809 6.3272
Tl 0.0000 0.0000 0.3314
```

Computed properties:
The calculation puts the total moment at 0.00 μB/f.u. The symmetry is P4mm (99). Its formation energy is -7.04 kJ/mol of atoms.

***

Entry 18:
SrCuTe2 | SCAN | single point on PBEsol structure

Geometry as extended XYZ:
```
4
Lattice="4.0325 0.0000 0.0000 0.0000 4.0325 0.0000 0.0000 0.0000 7.2346" Properties=species:S:1:pos:R:3 pbc="T T T"
Te 0.0000 0.0000 5.5112
Sr 2.0162 2.0162 6.8113
Te 2.0162 2.0162 2.7977
Cu 0.0000 0.0000 2.9663
```

Computed properties:
The calculation puts the total moment at 0.00 μB/f.u. Its uncorrected formation energy is -0.57 eV/atom. The symmetry is P4mm (99).

***

Entry 19:
Nb2Te4Cl10O | SCAN | single point on PBEsol structure

Geometry as extended XYZ:
```
17
Lattice="6.6819 0.0339 0.0540 2.2734 8.0766 -0.0258 0.2466 1.3750 8.8267" Properties=species:S:1:pos:R:3 pbc="T T T"
Te 7.9208 6.5128 0.0962
Te 5.8427 2.0525 7.4321
Cl 6.3855 7.1381 4.0433
Cl 2.2078 4.5961 2.4508
Nb 4.1632 3.3553 3.2037
Cl 3.5672 1.5653 1.6114
Cl 5.3490 4.4618 1.4682
Cl 2.8164 2.3475 4.8116
Cl 3.1399 7.3471 5.0819
Te 1.2810 2.9728 8.7587
Cl 3.8529 5.0238 7.3867
O 4.6009 4.7428 4.4274
Cl 6.9941 4.8895 6.4041
Cl 5.6347 7.9203 7.2435
Cl 6.0620 2.1385 3.7730
Nb 5.0387 6.1303 5.6512
Te 3.3592 7.4331 1.4228
```

Computed properties:
The calculation puts the total moment at 0.00 μB/f.u. Its uncorrected formation energy is -1.10 eV/atom. The symmetry is P-1 (2).

***

Entry 20:
ScMoAsSe2 | SCAN | single point on PBEsol structure

Geometry as extended XYZ:
```
5
Lattice="4.9625 0.0000 0.0000 0.0000 4.9625 0.0000 0.0000 0.0000 5.0189" Properties=species:S:1:pos:R:3 pbc="T T T"
As 0.0000 0.0000 2.5095
Se 0.0000 2.4812 0.0000
Sc 0.0000 0.0000 0.0000
Mo 2.4812 2.4812 2.5095
Se 2.4812 0.0000 0.0000
```

Computed properties:
The calculation puts the total moment at 2.89 μB/f.u. Its uncorrected formation energy is 0.32 eV/atom. The symmetry is P4/mmm (123).

***

Entry 21:
CaFeCu | SCAN | single point on PBEsol structure

Geometry as extended XYZ:
```
3
Lattice="3.1656 0.0000 0.0000 0.0000 3.1656 0.0000 -1.5828 -1.5828 5.2118" Properties=species:S:1:pos:R:3 pbc="T T T"
Cu 0.0000 0.0000 3.0869
Ca 1.5828 1.5828 5.2029
Fe 1.5828 1.5828 2.1339
```

Computed properties:
The calculation puts the total moment at 2.95 μB/f.u. The symmetry is I4mm (107). Its formation energy is 30.09 kJ/mol of atoms.

***

Entry 22:
Ta4Te4P | SCAN | single point on PBEsol structure

Geometry as extended XYZ:
```
36
Lattice="4.7874 0.0000 0.0000 0.0000 10.4608 0.0000 0.0000 0.0000 18.2826" Properties=species:S:1:pos:R:3 pbc="T T T"
Te 2.3937 1.7781 3.4889
Te 0.0000 1.4884 10.3646
P 1.1969 0.0000 0.0000
Ta 0.0000 7.2146 10.1539
Ta 0.0000 9.4526 16.3094
Ta 0.0000 8.4765 1.0126
Ta 2.3937 0.6915 16.1767
Ta 0.0000 4.2223 11.1145
P 3.5905 0.0000 0.0000
Te 2.3937 7.0085 5.6524
Te 0.0000 6.7188 17.0592
Ta 2.3937 3.1100 9.8215
Te 2.3937 8.7474 10.9316
Ta 2.3937 4.5389 7.0354
Te 2.3937 6.9437 1.7903
Ta 2.3937 5.9219 11.2472
P 1.1969 5.2304 9.1413
P 3.5905 5.2304 9.1413
Te 0.0000 6.4376 12.8801
Te 2.3937 3.5171 16.4922
Ta 2.3937 8.3404 17.6023
Te 0.0000 1.2072 14.5438
Te 0.0000 8.9724 7.9180
Te 2.3937 1.7133 7.3509
Te 0.0000 3.7420 1.2233
Ta 2.3937 9.7692 2.1059
Te 0.0000 9.2536 3.7388
Ta 2.3937 2.1204 0.6802
Ta 0.0000 1.9842 17.2700
Ta 2.3937 7.3508 8.4610
Ta 0.0000 3.2462 8.1287
Te 2.3937 3.4523 12.6301
Ta 0.0000 6.2385 7.1681
Ta 0.0000 1.0081 1.9732
Te 0.0000 4.0232 5.4025
Te 2.3937 8.6827 14.7937
```

Computed properties:
The calculation puts the total moment at 0.00 μB/f.u. Its uncorrected formation energy is -0.50 eV/atom. The symmetry is Pbam (55).

***

Entry 23:
CaAlB2As | SCAN | single point on PBEsol structure

Geometry as extended XYZ:
```
5
Lattice="-2.8190 0.0729 -3.1436 1.1741 -3.8922 -1.1430 -3.4070 -1.9120 3.0109" Properties=species:S:1:pos:R:3 pbc="T T T"
As -1.7035 -0.9560 1.5055
Ca -2.5260 -2.8656 -0.6378
B 0.5870 -1.9461 -0.5715
Al 0.0000 0.0000 0.0000
B -1.4095 0.0364 -1.5718
```

Computed properties:
The calculation puts the total moment at 0.00 μB/f.u. The symmetry is P4/mmm (123). Its formation energy is 64.91 kJ/mol of atoms.

***

Entry 24:
Ta2TlPt | SCAN | single point on PBEsol structure

Geometry as extended XYZ:
```
4
Lattice="3.7944 0.0000 0.0000 0.0000 4.2347 0.0000 -1.8972 -2.1174 4.3774" Properties=species:S:1:pos:R:3 pbc="T T T"
Ta 0.0000 0.0000 2.1253
Ta 1.8972 2.1174 2.2521
Pt 1.8972 0.0000 0.0000
Tl 0.0000 2.1174 0.0000
```

Computed properties:
The calculation puts the total moment at 0.00 μB/f.u. The symmetry is Immm (71). Its formation energy is -2.36 kJ/mol of atoms.

***

Entry 25:
Hg3Se5 | SCAN | single point on PBEsol structure

Geometry as extended XYZ:
```
8
Lattice="-1.2289 1.8575 -3.1702 -3.2840 0.9439 1.8261 5.8024 11.5016 4.4897" Properties=species:S:1:pos:R:3 pbc="T T T"
Hg 2.9012 5.7508 2.2449
Hg 2.4415 10.7131 2.9632
Se 4.7039 9.3240 3.6397
Se 0.1228 6.1169 1.1690
Se 1.1667 8.1861 1.9767
Se 0.0000 0.0000 0.0000
Hg -1.1521 3.5899 0.1826
Se 1.0986 2.1776 0.8500
```

Computed properties:
The calculation puts the total moment at 0.00 μB/f.u. Its uncorrected formation energy is 0.22 eV/atom. The symmetry is P4/mmm (123).